Here is crystalline Li2In6Pb at its relaxed geometry from the Alexandria database. Energies are from GGA-PBE.

Cell lengths 14.401, 4.537, 7.327 Å; angles 90.00, 109.83, 90.00 degrees
Space group C2/m (No. 12)
Unique sites:
Li 0.059 0.000 0.330
In 0.104 0.500 0.654
In 0.167 0.000 0.996
In 0.224 0.500 0.342
Pb 0.000 0.500 0.000

Output
formation enthalpy at 0 K	-98	meV/atom
DOS at the Fermi energy	0.339	states/eV/atom
total magnetization	0.00	μB per atom
E	-2.761	eV per atom